A geometry-optimized KInRu2 structure. Source: Alexandria via LeMat-Bulk, functional GGA-PBEsol.

## Properties
Mass density in Mg/m³: 7.817
Spin magnetization in μB/cell: 2.04
Energy in eV per atom: -5.18

a = 2.839 Å, b = 2.839 Å, c = 9.386 Å
α = 90.00°, β = 90.00°, γ = 90.00°
Space group P4/mmm (No. 123)
One atom of each set of equivalent atoms:
K (0.000, 0.000, 0.000) x1
In (0.000, 0.000, 0.500) x1
Ru (0.500, 0.500, 0.291) x2